Arrangement A

CaMg4Zn: relaxed, PBE.

Cell lengths 5.979, 5.979, 5.979 Å; angles 60.00, 60.00, 60.00 degrees
Atoms (fractional coordinates):
Ca 0.000 0.000 0.000
Mg 0.126 0.625 0.625
Mg 0.625 0.126 0.625
Mg 0.625 0.625 0.126
Mg 0.625 0.625 0.625
Zn 0.250 0.250 0.250

Its space-group type is F-43m (216). Its mass density is 2.2 Mg/m³. For the density of states at the Fermi level, the calculation gives 0.97 states/eV/atom.

Arrangement B

CaMg4Zn: relaxed, PBE.

Cell lengths 8.638, 4.351, 7.754 Å; angles 90.00, 90.00, 90.00 degrees
Atoms (fractional coordinates):
Ca 0.250 0.000 0.107
Ca 0.750 0.000 0.893
Mg 0.000 0.000 0.500
Mg 0.060 0.500 0.805
Mg 0.250 0.500 0.453
Mg 0.440 0.500 0.805
Mg 0.500 0.000 0.500
Mg 0.560 0.500 0.195
Mg 0.750 0.500 0.547
Mg 0.940 0.500 0.195
Zn 0.250 0.000 0.712
Zn 0.750 0.000 0.288

Its space-group type is Pmma (51). Its mass density is 2.3 Mg/m³. For the density of states at the Fermi level, the calculation gives 0.33 states/eV/atom.

Each structure's energy above the most stable one, in meV per atom: arrangement A 180; arrangement B 0.

Arrangement A

CaMg8Zn4: relaxed, PBE.

Cell lengths 7.879, 7.879, 7.879 Å; angles 95.86, 95.86, 142.73 degrees
Atoms (fractional coordinates):
Ca 0.000 0.000 0.000
Mg 0.066 0.374 0.440
Mg 0.193 0.710 0.902
Mg 0.290 0.193 0.483
Mg 0.374 0.934 0.308
Mg 0.626 0.066 0.692
Mg 0.710 0.807 0.517
Mg 0.807 0.290 0.098
Mg 0.934 0.626 0.560
Zn 0.316 0.460 0.776
Zn 0.460 0.684 0.145
Zn 0.540 0.316 0.855
Zn 0.684 0.540 0.224

Its space-group type is I4/m (87). Its mass density is 2.9 Mg/m³. For the density of states at the Fermi level, the calculation gives 0.43 states/eV/atom.

Arrangement B

CaMg8Zn4: relaxed, PBE.

Cell lengths 7.456, 7.456, 7.456 Å; angles 98.34, 98.34, 135.23 degrees
Atoms (fractional coordinates):
Ca 0.000 0.000 0.000
Mg 0.000 0.345 0.345
Mg 0.000 0.655 0.655
Mg 0.283 0.500 0.783
Mg 0.345 0.000 0.345
Mg 0.500 0.283 0.783
Mg 0.500 0.717 0.217
Mg 0.655 0.000 0.655
Mg 0.717 0.500 0.217
Zn 0.000 0.000 0.500
Zn 0.000 0.500 0.000
Zn 0.500 0.000 0.000
Zn 0.500 0.500 0.500

Its space-group type is I4/mmm (139). Its mass density is 3.1 Mg/m³. For the density of states at the Fermi level, the calculation gives 0.52 states/eV/atom.

Each structure's energy above the most stable one, in meV per atom: arrangement A 96; arrangement B 0.

Arrangement A

CaMgZr3: relaxed, PBE.

Cell lengths 5.145, 5.145, 5.145 Å; angles 90.00, 90.00, 90.00 degrees
Atoms (fractional coordinates):
Ca 0.000 0.000 0.000
Mg 0.500 0.500 0.500
Zr 0.000 0.000 0.500
Zr 0.000 0.500 0.000
Zr 0.500 0.000 0.000

Its space-group type is Pm-3m (221). Its mass density is 4.1 Mg/m³. For the density of states at the Fermi level, the calculation gives 1.61 states/eV/atom.

Arrangement B

CaMgZr3: relaxed, PBE.

Cell lengths 5.240, 5.240, 5.240 Å; angles 90.00, 90.00, 90.00 degrees
Atoms (fractional coordinates):
Ca 0.000 0.000 0.000
Mg 0.500 0.500 0.500
Zr 0.000 0.500 0.500
Zr 0.500 0.000 0.500
Zr 0.500 0.500 0.000

Its space-group type is Pm-3m (221). Its mass density is 3.9 Mg/m³. For the density of states at the Fermi level, the calculation gives 5.05 states/eV/atom.

Each structure's energy above the most stable one, in meV per atom: arrangement A 522; arrangement B 0.

Arrangement A

CaMg2Zr2: relaxed, PBE.

Cell lengths 8.848, 8.848, 3.271 Å; angles 90.00, 90.00, 90.00 degrees
Atoms (fractional coordinates):
Ca 0.000 0.000 0.000
Ca 0.500 0.500 0.000
Mg 0.180 0.320 0.500
Mg 0.320 0.820 0.500
Mg 0.680 0.180 0.500
Mg 0.820 0.680 0.500
Zr 0.113 0.613 0.000
Zr 0.387 0.113 0.000
Zr 0.613 0.887 0.000
Zr 0.887 0.387 0.000

Its space-group type is P4/mbm (127). Its mass density is 3.5 Mg/m³. For the density of states at the Fermi level, the calculation gives 0.89 states/eV/atom.

Arrangement B

CaMg2Zr2: relaxed, PBE.

Cell lengths 7.933, 7.933, 7.933 Å; angles 148.65, 148.65, 44.93 degrees
Atoms (fractional coordinates):
Ca 0.000 0.000 0.000
Mg 0.400 0.400 0.000
Mg 0.600 0.600 0.000
Zr 0.250 0.750 0.500
Zr 0.750 0.250 0.500

Its space-group type is I4/mmm (139). Its mass density is 3.3 Mg/m³. For the density of states at the Fermi level, the calculation gives 1.23 states/eV/atom.

Each structure's energy above the most stable one, in meV per atom: arrangement A 0; arrangement B 102.